1.
The following is a PBE calculation of a relaxed SrNiW crystal, from the Alexandria database.

## Properties
DOS at the Fermi energy in states/eV/f.u.: 3.00

Geometry as CIF:
```
data_SrNiW
_chemical_formula_sum 'Sr2 Ni2 W2'
_cell_length_a 3.135
_cell_length_b 3.135
_cell_length_c 12.373
_cell_angle_alpha 90.00
_cell_angle_beta 90.00
_cell_angle_gamma 90.00
_space_group_name_H-M_alt 'I 4 m m'
_space_group_IT_number 107
_space_group_name_Hall 'I 4 -2'
loop_
_atom_site_label
_atom_site_type_symbol
_atom_site_fract_x
_atom_site_fract_y
_atom_site_fract_z
Sr1 Sr 0.000 0.000 0.000
Ni1 Ni 0.000 0.000 0.698
W1 W 0.000 0.000 0.290
```

***

2.
The following is a PBE calculation of a relaxed SrNiW crystal, from the Alexandria database.

## Properties
DOS at the Fermi energy in states/eV/f.u.: 3.63

Geometry as CIF:
```
data_SrNiW
_chemical_formula_sum 'Sr4 Ni4 W4'
_cell_length_a 11.512
_cell_length_b 4.266
_cell_length_c 5.239
_cell_angle_alpha 90.00
_cell_angle_beta 92.61
_cell_angle_gamma 90.00
_space_group_name_H-M_alt 'C 1 m 1'
_space_group_IT_number 8
_space_group_name_Hall 'C -2y'
loop_
_atom_site_label
_atom_site_type_symbol
_atom_site_fract_x
_atom_site_fract_y
_atom_site_fract_z
Sr1 Sr 0.000 0.000 0.000
Sr2 Sr 0.054 0.500 0.498
Ni1 Ni 0.278 0.000 0.248
Ni2 Ni 0.315 0.500 0.504
W1 W 0.235 0.500 0.020
W2 W 0.277 0.000 0.735
```

***

3.
The following is a PBE calculation of a relaxed SrNiW crystal, from the Alexandria database.

## Properties
DOS at the Fermi energy in states/eV/f.u.: 2.56

Geometry as CIF:
```
data_SrNiW
_chemical_formula_sum 'Sr1 Ni1 W1'
_cell_length_a 3.1910
_cell_length_b 3.1910
_cell_length_c 6.9183
_cell_angle_alpha 90.00
_cell_angle_beta 90.00
_cell_angle_gamma 120.00
_space_group_name_H-M_alt 'P 3 m 1'
_space_group_IT_number 156
_space_group_name_Hall 'P 3 -2"'
loop_
_atom_site_label
_atom_site_type_symbol
_atom_site_fract_x
_atom_site_fract_y
_atom_site_fract_z
Sr1 Sr 0.0000 0.0000 0.0000
Ni1 Ni 0.3333 0.6667 0.6290
W1 W 0.6667 0.3333 0.3974
```

***

4.
The following is a PBE calculation of a relaxed SrNiW crystal, from the Alexandria database.

## Properties
DOS at the Fermi energy in states/eV/f.u.: 2.91

Geometry as CIF:
```
data_SrNiW
_chemical_formula_sum 'Sr2 Ni2 W2'
_cell_length_a 5.4999
_cell_length_b 5.4999
_cell_length_c 8.9644
_cell_angle_alpha 90.00
_cell_angle_beta 90.00
_cell_angle_gamma 120.00
_space_group_name_H-M_alt 'P 63/m m c'
_space_group_IT_number 194
_space_group_name_Hall '-P 6c 2c'
loop_
_atom_site_label
_atom_site_type_symbol
_atom_site_fract_x
_atom_site_fract_y
_atom_site_fract_z
Sr1 Sr 0.3333 0.6667 0.2500
Ni1 Ni 0.0000 0.0000 0.0000
W1 W 0.0000 0.0000 0.2500
```

***

Most stable structure, least stable structure: 2, 4.

***

1.
The following is a PBE calculation of a relaxed SrNi2W crystal, from the Alexandria database.

## Properties
DOS at the Fermi energy in states/eV/f.u.: 6.30

Geometry as CIF:
```
data_SrNi2W
_chemical_formula_sum 'Sr4 Ni8 W4'
_cell_length_a 6.511
_cell_length_b 6.511
_cell_length_c 6.511
_cell_angle_alpha 90.00
_cell_angle_beta 90.00
_cell_angle_gamma 90.00
_space_group_name_H-M_alt 'F m -3 m'
_space_group_IT_number 225
_space_group_name_Hall '-F 4 2 3'
loop_
_atom_site_label
_atom_site_type_symbol
_atom_site_fract_x
_atom_site_fract_y
_atom_site_fract_z
Sr1 Sr 0.000 0.000 0.000
Ni1 Ni 0.250 0.250 0.250
W1 W 0.000 0.000 0.500
```

***

2.
The following is a PBE calculation of a relaxed SrNi2W crystal, from the Alexandria database.

## Properties
DOS at the Fermi energy in states/eV/f.u.: 5.33

Geometry as CIF:
```
data_SrNi2W
_chemical_formula_sum 'Sr2 Ni4 W2'
_cell_length_a 4.183
_cell_length_b 5.260
_cell_length_c 6.802
_cell_angle_alpha 90.00
_cell_angle_beta 90.00
_cell_angle_gamma 90.00
_space_group_name_H-M_alt 'I m m m'
_space_group_IT_number 71
_space_group_name_Hall '-I 2 2'
loop_
_atom_site_label
_atom_site_type_symbol
_atom_site_fract_x
_atom_site_fract_y
_atom_site_fract_z
Sr1 Sr 0.000 0.000 0.000
Ni1 Ni 0.000 0.500 0.194
W1 W 0.000 0.000 0.500
```

***

Most stable structure, least stable structure: 2, 1.

***

1.
The following is a PBE calculation of a relaxed SrNi2W crystal, from the Alexandria database.

## Properties
DOS at the Fermi energy in states/eV/f.u.: 1.57

Geometry as CIF:
```
data_SrNi2W
_chemical_formula_sum 'Sr4 Ni8 W4'
_cell_length_a 4.918
_cell_length_b 4.918
_cell_length_c 15.608
_cell_angle_alpha 90.00
_cell_angle_beta 90.00
_cell_angle_gamma 90.00
_space_group_name_H-M_alt 'I 41/a m d'
_space_group_IT_number 141
loop_
_space_group_symop_operation_xyz
'x,y,z'
'-x,-y,-z'
'-y+1/4,x+3/4,z+1/4'
'y+1/4,-x+3/4,-z+1/4'
'-x+1/2,-y,z+1/2'
'x+1/2,y,-z+1/2'
'y+1/4,-x+1/4,z+3/4'
'-y+1/4,x+1/4,-z+3/4'
'x,-y,-z'
'-x,y,z'
'-y+1/4,-x+1/4,-z+3/4'
'y+1/4,x+1/4,z+3/4'
'-x+1/2,y,-z+1/2'
'x+1/2,-y,z+1/2'
'y+1/4,x+3/4,-z+1/4'
'-y+1/4,-x+3/4,z+1/4'
'x+1/2,y+1/2,z+1/2'
'-x+1/2,-y+1/2,-z+1/2'
'-y+3/4,x+1/4,z+3/4'
'y+3/4,-x+1/4,-z+3/4'
'-x,-y+1/2,z'
'x,y+1/2,-z'
'y+3/4,-x+3/4,z+1/4'
'-y+3/4,x+3/4,-z+1/4'
'x+1/2,-y+1/2,-z+1/2'
'-x+1/2,y+1/2,z+1/2'
'-y+3/4,-x+3/4,-z+1/4'
'y+3/4,x+3/4,z+1/4'
'-x,y+1/2,-z'
'x,-y+1/2,z'
'y+3/4,x+1/4,-z+3/4'
'-y+3/4,-x+1/4,z+3/4'
loop_
_atom_site_label
_atom_site_type_symbol
_atom_site_fract_x
_atom_site_fract_y
_atom_site_fract_z
Sr1 Sr 0.000 0.250 0.375
Ni1 Ni 0.000 0.000 0.000
W1 W 0.000 0.250 0.875
```

***

2.
The following is a PBE calculation of a relaxed SrNi2W crystal, from the Alexandria database.

## Properties
DOS at the Fermi energy in states/eV/f.u.: 3.69

Geometry as CIF:
```
data_SrNi2W
_chemical_formula_sum 'Sr1 Ni2 W1'
_cell_length_a 3.144
_cell_length_b 3.144
_cell_length_c 7.201
_cell_angle_alpha 90.00
_cell_angle_beta 90.00
_cell_angle_gamma 90.00
_space_group_name_H-M_alt 'P 4 m m'
_space_group_IT_number 99
_space_group_name_Hall 'P 4 -2'
loop_
_atom_site_label
_atom_site_type_symbol
_atom_site_fract_x
_atom_site_fract_y
_atom_site_fract_z
Sr1 Sr 0.000 0.000 0.000
Ni1 Ni 0.000 0.000 0.521
Ni2 Ni 0.500 0.500 0.690
W1 W 0.500 0.500 0.355
```

***

Most stable structure, least stable structure: 2, 1.

***

1.
The following is a PBE calculation of a relaxed SrY2Ni crystal, from the Alexandria database.

## Properties
DOS at the Fermi energy in states/eV/f.u.: 5.58

Geometry as CIF:
```
data_SrY2Ni
_chemical_formula_sum 'Sr4 Y8 Ni4'
_cell_length_a 7.667
_cell_length_b 7.667
_cell_length_c 7.667
_cell_angle_alpha 90.00
_cell_angle_beta 90.00
_cell_angle_gamma 90.00
_space_group_name_H-M_alt 'F -4 3 m'
_space_group_IT_number 216
_space_group_name_Hall 'F -4 2 3'
loop_
_atom_site_label
_atom_site_type_symbol
_atom_site_fract_x
_atom_site_fract_y
_atom_site_fract_z
Sr1 Sr 0.000 0.000 0.000
Y1 Y 0.000 0.000 0.500
Y2 Y 0.250 0.250 0.750
Ni1 Ni 0.250 0.250 0.250
```

***

2.
The following is a PBE calculation of a relaxed SrY2Ni crystal, from the Alexandria database.

## Properties
DOS at the Fermi energy in states/eV/f.u.: 5.22

Geometry as CIF:
```
data_SrY2Ni
_chemical_formula_sum 'Sr4 Y8 Ni4'
_cell_length_a 7.540
_cell_length_b 7.540
_cell_length_c 7.540
_cell_angle_alpha 90.00
_cell_angle_beta 90.00
_cell_angle_gamma 90.00
_space_group_name_H-M_alt 'F m -3 m'
_space_group_IT_number 225
_space_group_name_Hall '-F 4 2 3'
loop_
_atom_site_label
_atom_site_type_symbol
_atom_site_fract_x
_atom_site_fract_y
_atom_site_fract_z
Sr1 Sr 0.000 0.000 0.000
Y1 Y 0.250 0.250 0.250
Ni1 Ni 0.000 0.000 0.500
```

***

Most stable structure, least stable structure: 2, 1.

***

1.
The following is a PBE calculation of a relaxed SrY2Ni crystal, from the Alexandria database.

## Properties
DOS at the Fermi energy in states/eV/f.u.: 4.56

Geometry as CIF:
```
data_SrY2Ni
_chemical_formula_sum 'Sr2 Y4 Ni2'
_cell_length_a 12.154
_cell_length_b 3.712
_cell_length_c 6.525
_cell_angle_alpha 90.00
_cell_angle_beta 121.98
_cell_angle_gamma 90.00
_space_group_name_H-M_alt 'C 1 m 1'
_space_group_IT_number 8
_space_group_name_Hall 'C -2y'
loop_
_atom_site_label
_atom_site_type_symbol
_atom_site_fract_x
_atom_site_fract_y
_atom_site_fract_z
Sr1 Sr 0.000 0.000 0.000
Y1 Y 0.178 0.000 0.680
Y2 Y 0.364 0.000 0.363
Ni1 Ni 0.221 0.500 0.013
```

***

2.
The following is a PBE calculation of a relaxed SrY2Ni crystal, from the Alexandria database.

## Properties
DOS at the Fermi energy in states/eV/f.u.: 4.65

Geometry as CIF:
```
data_SrY2Ni
_chemical_formula_sum 'Sr2 Y4 Ni2'
_cell_length_a 7.016
_cell_length_b 7.024
_cell_length_c 4.503
_cell_angle_alpha 90.00
_cell_angle_beta 90.00
_cell_angle_gamma 90.00
_space_group_name_H-M_alt 'C m m m'
_space_group_IT_number 65
_space_group_name_Hall '-C 2 2'
loop_
_atom_site_label
_atom_site_type_symbol
_atom_site_fract_x
_atom_site_fract_y
_atom_site_fract_z
Sr1 Sr 0.000 0.000 0.000
Y1 Y 0.250 0.250 0.500
Ni1 Ni 0.000 0.500 0.000
```

***

Most stable structure, least stable structure: 1, 2.

***

1.
The following is a PBE calculation of a relaxed Sr2YNi2 crystal, from the Alexandria database.

## Properties
DOS at the Fermi energy in states/eV/f.u.: 4.46

Geometry as CIF:
```
data_Sr2YNi2
_chemical_formula_sum 'Sr4 Y2 Ni4'
_cell_length_a 8.591
_cell_length_b 8.591
_cell_length_c 3.379
_cell_angle_alpha 90.00
_cell_angle_beta 90.00
_cell_angle_gamma 90.00
_space_group_name_H-M_alt 'P 4/m b m'
_space_group_IT_number 127
_space_group_name_Hall '-P 4 2ab'
loop_
_atom_site_label
_atom_site_type_symbol
_atom_site_fract_x
_atom_site_fract_y
_atom_site_fract_z
Sr1 Sr 0.134 0.366 0.000
Y1 Y 0.000 0.000 0.000
Ni1 Ni 0.172 0.672 0.500
```

***

2.
The following is a PBE calculation of a relaxed Sr2YNi2 crystal, from the Alexandria database.

## Properties
DOS at the Fermi energy in states/eV/f.u.: 4.28

Geometry as CIF:
```
data_Sr2YNi2
_chemical_formula_sum 'Sr4 Y2 Ni4'
_cell_length_a 7.435
_cell_length_b 7.435
_cell_length_c 4.759
_cell_angle_alpha 90.00
_cell_angle_beta 90.00
_cell_angle_gamma 90.00
_space_group_name_H-M_alt 'P 4/m b m'
_space_group_IT_number 127
_space_group_name_Hall '-P 4 2ab'
loop_
_atom_site_label
_atom_site_type_symbol
_atom_site_fract_x
_atom_site_fract_y
_atom_site_fract_z
Sr1 Sr 0.172 0.328 0.000
Y1 Y 0.000 0.000 0.500
Ni1 Ni 0.113 0.613 0.500
```

***

Most stable structure, least stable structure: 2, 1.

***

1.
The following is a PBE calculation of a relaxed SrYNi crystal, from the Alexandria database.

## Properties
DOS at the Fermi energy in states/eV/f.u.: 2.88

Geometry as CIF:
```
data_SrYNi
_chemical_formula_sum 'Sr4 Y4 Ni4'
_cell_length_a 5.051
_cell_length_b 5.059
_cell_length_c 13.213
_cell_angle_alpha 90.00
_cell_angle_beta 90.00
_cell_angle_gamma 90.00
_space_group_name_H-M_alt 'F m m 2'
_space_group_IT_number 42
_space_group_name_Hall 'F 2 -2'
loop_
_atom_site_label
_atom_site_type_symbol
_atom_site_fract_x
_atom_site_fract_y
_atom_site_fract_z
Sr1 Sr 0.000 0.000 0.000
Y1 Y 0.000 0.000 0.744
Ni1 Ni 0.000 0.000 0.343
```

***

2.
The following is a PBE calculation of a relaxed SrYNi crystal, from the Alexandria database.

## Properties
DOS at the Fermi energy in states/eV/f.u.: 3.41

Geometry as CIF:
```
data_SrYNi
_chemical_formula_sum 'Sr1 Y1 Ni1'
_cell_length_a 4.0496
_cell_length_b 4.0496
_cell_length_c 6.7856
_cell_angle_alpha 90.00
_cell_angle_beta 90.00
_cell_angle_gamma 120.00
_space_group_name_H-M_alt 'P 3 m 1'
_space_group_IT_number 156
_space_group_name_Hall 'P 3 -2"'
loop_
_atom_site_label
_atom_site_type_symbol
_atom_site_fract_x
_atom_site_fract_y
_atom_site_fract_z
Sr1 Sr 0.0000 0.0000 0.0000
Y1 Y 0.6667 0.3333 0.5296
Ni1 Ni 0.3333 0.6667 0.7253
```

***

3.
The following is a PBE calculation of a relaxed SrYNi crystal, from the Alexandria database.

## Properties
DOS at the Fermi energy in states/eV/f.u.: 3.06

Geometry as CIF:
```
data_SrYNi
_chemical_formula_sum 'Sr4 Y4 Ni4'
_cell_length_a 7.012
_cell_length_b 7.012
_cell_length_c 7.012
_cell_angle_alpha 90.00
_cell_angle_beta 90.00
_cell_angle_gamma 90.00
_space_group_name_H-M_alt 'F -4 3 m'
_space_group_IT_number 216
_space_group_name_Hall 'F -4 2 3'
loop_
_atom_site_label
_atom_site_type_symbol
_atom_site_fract_x
_atom_site_fract_y
_atom_site_fract_z
Sr1 Sr 0.000 0.000 0.000
Y1 Y 0.000 0.000 0.500
Ni1 Ni 0.250 0.250 0.750
```

***

Most stable structure, least stable structure: 1, 3.

***

1.
The following is a PBE calculation of a relaxed Sr3Zn4Ni2 crystal, from the Alexandria database.

## Properties
DOS at the Fermi energy in states/eV/f.u.: 5.44

Geometry as CIF:
```
data_Sr3Zn4Ni2
_chemical_formula_sum 'Sr6 Zn8 Ni4'
_cell_length_a 11.409
_cell_length_b 4.245
_cell_length_c 9.366
_cell_angle_alpha 90.00
_cell_angle_beta 111.07
_cell_angle_gamma 90.00
_space_group_name_H-M_alt 'C 1 2/m 1'
_space_group_IT_number 12
_space_group_name_Hall '-C 2y'
loop_
_atom_site_label
_atom_site_type_symbol
_atom_site_fract_x
_atom_site_fract_y
_atom_site_fract_z
Sr1 Sr 0.000 0.000 0.000
Sr2 Sr 0.112 0.500 0.690
Zn1 Zn 0.158 0.000 0.431
Zn2 Zn 0.224 0.500 0.069
Ni1 Ni 0.173 0.500 0.301
```

***

2.
The following is a PBE calculation of a relaxed Sr3Zn4Ni2 crystal, from the Alexandria database.

## Properties
DOS at the Fermi energy in states/eV/f.u.: 4.91

Geometry as CIF:
```
data_Sr3Zn4Ni2
_chemical_formula_sum 'Sr6 Zn8 Ni4'
_cell_length_a 4.3365
_cell_length_b 4.3365
_cell_length_c 26.4084
_cell_angle_alpha 90.00
_cell_angle_beta 90.00
_cell_angle_gamma 120.00
_space_group_name_H-M_alt 'P -6 m 2'
_space_group_IT_number 187
_space_group_name_Hall 'P -6 2'
loop_
_atom_site_label
_atom_site_type_symbol
_atom_site_fract_x
_atom_site_fract_y
_atom_site_fract_z
Sr1 Sr 0.0000 0.0000 0.0743
Sr2 Sr 0.0000 0.0000 0.2514
Sr3 Sr 0.0000 0.0000 0.4113
Zn1 Zn 0.3333 0.6667 0.1644
Zn2 Zn 0.3333 0.6667 0.3314
Zn3 Zn 0.3333 0.6667 0.5000
Zn4 Zn 0.6667 0.3333 0.1648
Zn5 Zn 0.6667 0.3333 0.5000
Ni1 Ni 0.3333 0.6667 0.0000
Ni2 Ni 0.6667 0.3333 0.0000
Ni3 Ni 0.6667 0.3333 0.3311
```

***

Most stable structure, least stable structure: 1, 2.